1.
# Tb3Pm3Sm5 (PBE, optimized geometry)
# Total DFT energy (no corrections) ... -4.38 eV/atom
# Crystal system ... hexagonal
# Energy of formation ... 327 meV per atom
# Size of the total moment ... 0.00 μB per cell
data_Tb3Pm3Sm5
_cell_length_a 11.3174
_cell_length_b 11.3174
_cell_length_c 3.4630
_cell_angle_alpha 90.00
_cell_angle_beta 90.00
_cell_angle_gamma 120.00
_symmetry_space_group_name_H-M 'P -6 2 m'
_symmetry_Int_Tables_number 189
_symmetry_space_group_name_Hall 'P -6 -2'
loop_
_atom_site_label
_atom_site_type_symbol
_atom_site_fract_x
_atom_site_fract_y
_atom_site_fract_z
Tb1 Tb 0.0000 0.1594 0.0000
Pm1 Pm 0.0000 0.4033 0.5000
Sm1 Sm 0.0000 0.6611 0.0000
Sm2 Sm 0.3333 0.6667 0.0000

***

2.
# Tb2Pm6Sm (PBE, optimized geometry)
# Total DFT energy (no corrections) ... -4.52 eV/atom
# Crystal system ... monoclinic
# Energy of formation ... 199 meV per atom
# Size of the total moment ... 1.72 μB per cell
data_Tb2Pm6Sm
_cell_length_a 13.143
_cell_length_b 7.588
_cell_length_c 6.198
_cell_angle_alpha 90.00
_cell_angle_beta 90.01
_cell_angle_gamma 90.00
_symmetry_space_group_name_H-M 'C 1 2/m 1'
_symmetry_Int_Tables_number 12
loop_
_symmetry_equiv_pos_as_xyz
'x,y,z'
'-x,-y,-z'
'-x,y,-z'
'x,-y,z'
'x+1/2,y+1/2,z'
'-x+1/2,-y+1/2,-z'
'-x+1/2,y+1/2,-z'
'x+1/2,-y+1/2,z'
loop_
_atom_site_label
_atom_site_type_symbol
_atom_site_fract_x
_atom_site_fract_y
_atom_site_fract_z
Tb1 Tb 0.167 0.000 0.216
Pm1 Pm 0.095 0.218 0.710
Pm2 Pm 0.188 0.500 0.290
Sm1 Sm 0.000 0.500 0.000

***

3.
# TbPm2Sm (PBE, optimized geometry)
# Total DFT energy (no corrections) ... -4.60 eV/atom
# Crystal system ... tetragonal
# Energy of formation ... 115 meV per atom
# Size of the total moment ... 0.00 μB per cell
data_TbPm2Sm
_cell_length_a 4.264
_cell_length_b 4.264
_cell_length_c 7.411
_cell_angle_alpha 90.00
_cell_angle_beta 90.00
_cell_angle_gamma 90.00
_symmetry_space_group_name_H-M 'P 4/m m m'
_symmetry_Int_Tables_number 123
_symmetry_space_group_name_Hall '-P 4 2'
loop_
_atom_site_label
_atom_site_type_symbol
_atom_site_fract_x
_atom_site_fract_y
_atom_site_fract_z
Tb1 Tb 0.000 0.000 0.000
Pm1 Pm 0.500 0.500 0.247
Sm1 Sm 0.000 0.000 0.500

***

4.
# Tb7PmSm4 (PBE, optimized geometry)
# Total DFT energy (no corrections) ... -4.41 eV/atom
# Crystal system ... monoclinic
# Energy of formation ... 257 meV per atom
# Size of the total moment ... 0.00 μB per cell
data_Tb7PmSm4
_cell_length_a 12.120
_cell_length_b 5.946
_cell_length_c 12.782
_cell_angle_alpha 90.00
_cell_angle_beta 118.06
_cell_angle_gamma 90.00
_symmetry_space_group_name_H-M 'C 1 2/m 1'
_symmetry_Int_Tables_number 12
loop_
_symmetry_equiv_pos_as_xyz
'x,y,z'
'-x,-y,-z'
'-x,y,-z'
'x,-y,z'
'x+1/2,y+1/2,z'
'-x+1/2,-y+1/2,-z'
'-x+1/2,y+1/2,-z'
'x+1/2,-y+1/2,z'
loop_
_atom_site_label
_atom_site_type_symbol
_atom_site_fract_x
_atom_site_fract_y
_atom_site_fract_z
Tb1 Tb 0.000 0.000 0.000
Tb2 Tb 0.064 0.500 0.323
Tb3 Tb 0.132 0.000 0.499
Tb4 Tb 0.211 0.500 0.922
Pm1 Pm 0.000 0.500 0.000
Sm1 Sm 0.136 0.000 0.777
Sm2 Sm 0.238 0.500 0.676

***

5.
# Tb2Pm3Sm4 (PBE, optimized geometry)
# Total DFT energy (no corrections) ... -4.65 eV/atom
# Crystal system ... trigonal
# Energy of formation ... 64 meV per atom
# Size of the total moment ... 0.00 μB per cell
data_Tb2Pm3Sm4
_cell_length_a 3.6290
_cell_length_b 3.6290
_cell_length_c 26.8880
_cell_angle_alpha 90.00
_cell_angle_beta 90.00
_cell_angle_gamma 120.00
_symmetry_space_group_name_H-M 'P 3 m 1'
_symmetry_Int_Tables_number 156
loop_
_symmetry_equiv_pos_as_xyz
'x,y,z'
'-y,x-y,z'
'-x+y,-x,z'
'-y,-x,z'
'-x+y,y,z'
'x,x-y,z'
loop_
_atom_site_label
_atom_site_type_symbol
_atom_site_fract_x
_atom_site_fract_y
_atom_site_fract_z
Tb1 Tb 0.0000 0.0000 0.0000
Tb2 Tb 0.0000 0.0000 0.2161
Pm1 Pm 0.0000 0.0000 0.7823
Pm2 Pm 0.3333 0.6667 0.1106
Pm3 Pm 0.3333 0.6667 0.4499
Sm1 Sm 0.0000 0.0000 0.3430
Sm2 Sm 0.0000 0.0000 0.5630
Sm3 Sm 0.3333 0.6667 0.6713
Sm4 Sm 0.3333 0.6667 0.8936

***

6.
# Tb5Pm2Sm2 (PBE, optimized geometry)
# Total DFT energy (no corrections) ... -4.47 eV/atom
# Crystal system ... orthorhombic
# Energy of formation ... 205 meV per atom
# Size of the total moment ... 0.00 μB per cell
data_Tb5Pm2Sm2
_cell_length_a 14.985
_cell_length_b 11.894
_cell_length_c 6.776
_cell_angle_alpha 90.00
_cell_angle_beta 90.00
_cell_angle_gamma 90.00
_symmetry_space_group_name_H-M 'I m a 2'
_symmetry_Int_Tables_number 46
loop_
_symmetry_equiv_pos_as_xyz
'x,y,z'
'-x,-y,z'
'-x+1/2,y,z'
'x+1/2,-y,z'
'x+1/2,y+1/2,z+1/2'
'-x+1/2,-y+1/2,z+1/2'
'-x,y+1/2,z+1/2'
'x,-y+1/2,z+1/2'
loop_
_atom_site_label
_atom_site_type_symbol
_atom_site_fract_x
_atom_site_fract_y
_atom_site_fract_z
Tb1 Tb 0.053 0.247 0.000
Tb2 Tb 0.143 0.735 0.817
Tb3 Tb 0.250 0.243 0.799
Pm1 Pm 0.127 0.001 0.648
Sm1 Sm 0.000 0.000 0.188
Sm2 Sm 0.250 0.509 0.603

***

7.
# Tb8PmSm2 (PBE, optimized geometry)
# Total DFT energy (no corrections) ... -4.55 eV/atom
# Crystal system ... orthorhombic
# Energy of formation ... 112 meV per atom
# Size of the total moment ... 0.00 μB per cell
data_Tb8PmSm2
_cell_length_a 5.564
_cell_length_b 8.170
_cell_length_c 15.993
_cell_angle_alpha 90.00
_cell_angle_beta 90.00
_cell_angle_gamma 90.00
_symmetry_space_group_name_H-M 'I m m m'
_symmetry_Int_Tables_number 71
_symmetry_space_group_name_Hall '-I 2 2'
loop_
_atom_site_label
_atom_site_type_symbol
_atom_site_fract_x
_atom_site_fract_y
_atom_site_fract_z
Tb1 Tb 0.000 0.000 0.161
Tb2 Tb 0.000 0.207 0.362
Tb3 Tb 0.000 0.294 0.000
Pm1 Pm 0.000 0.500 0.500
Sm1 Sm 0.000 0.500 0.200

***

8.
# TbPm2Sm8 (PBE, optimized geometry)
# Total DFT energy (no corrections) ... -4.70 eV/atom
# Crystal system ... monoclinic
# Energy of formation ... 15 meV per atom
# Size of the total moment ... 0.00 μB per cell
data_TbPm2Sm8
_cell_length_a 18.472
_cell_length_b 5.126
_cell_length_c 8.116
_cell_angle_alpha 90.00
_cell_angle_beta 105.30
_cell_angle_gamma 90.00
_symmetry_space_group_name_H-M 'C 1 2/m 1'
_symmetry_Int_Tables_number 12
loop_
_symmetry_equiv_pos_as_xyz
'x,y,z'
'-x,-y,-z'
'-x,y,-z'
'x,-y,z'
'x+1/2,y+1/2,z'
'-x+1/2,-y+1/2,-z'
'-x+1/2,y+1/2,-z'
'x+1/2,-y+1/2,z'
loop_
_atom_site_label
_atom_site_type_symbol
_atom_site_fract_x
_atom_site_fract_y
_atom_site_fract_z
Tb1 Tb 0.000 0.000 0.000
Pm1 Pm 0.227 0.500 0.636
Sm1 Sm 0.045 0.500 0.728
Sm2 Sm 0.090 0.000 0.453
Sm3 Sm 0.136 0.500 0.180
Sm4 Sm 0.181 0.000 0.909

***

9.
# Tb2Pm7Sm2 (PBE, optimized geometry)
# Total DFT energy (no corrections) ... -4.62 eV/atom
# Crystal system ... monoclinic
# Energy of formation ... 99 meV per atom
# Size of the total moment ... 0.00 μB per cell
data_Tb2Pm7Sm2
_cell_length_a 7.027
_cell_length_b 10.551
_cell_length_c 10.162
_cell_angle_alpha 90.00
_cell_angle_beta 93.23
_cell_angle_gamma 90.00
_symmetry_space_group_name_H-M 'C 1 2/m 1'
_symmetry_Int_Tables_number 12
loop_
_symmetry_equiv_pos_as_xyz
'x,y,z'
'-x,-y,-z'
'-x,y,-z'
'x,-y,z'
'x+1/2,y+1/2,z'
'-x+1/2,-y+1/2,-z'
'-x+1/2,y+1/2,-z'
'x+1/2,-y+1/2,z'
loop_
_atom_site_label
_atom_site_type_symbol
_atom_site_fract_x
_atom_site_fract_y
_atom_site_fract_z
Tb1 Tb 0.000 0.229 0.000
Pm1 Pm 0.000 0.500 0.500
Pm2 Pm 0.119 0.204 0.353
Pm3 Pm 0.190 0.500 0.861
Sm1 Sm 0.213 0.000 0.795

***

10.
# Tb2PmSm9 (PBE, optimized geometry)
# Total DFT energy (no corrections) ... -4.69 eV/atom
# Crystal system ... tetragonal
# Energy of formation ... 18 meV per atom
# Size of the total moment ... 0.00 μB per cell
data_Tb2PmSm9
_cell_length_a 5.115
_cell_length_b 5.115
_cell_length_c 15.345
_cell_angle_alpha 90.00
_cell_angle_beta 90.00
_cell_angle_gamma 90.00
_symmetry_space_group_name_H-M 'P 4/m m m'
_symmetry_Int_Tables_number 123
_symmetry_space_group_name_Hall '-P 4 2'
loop_
_atom_site_label
_atom_site_type_symbol
_atom_site_fract_x
_atom_site_fract_y
_atom_site_fract_z
Tb1 Tb 0.000 0.000 0.166
Pm1 Pm 0.000 0.000 0.500
Sm1 Sm 0.000 0.500 0.000
Sm2 Sm 0.000 0.500 0.332
Sm3 Sm 0.500 0.500 0.166
Sm4 Sm 0.500 0.500 0.500

***

11.
# Tb2Pm3Sm6 (PBE, optimized geometry)
# Total DFT energy (no corrections) ... -4.70 eV/atom
# Crystal system ... trigonal
# Energy of formation ... 12 meV per atom
# Size of the total moment ... 0.00 μB per cell
data_Tb2Pm3Sm6
_cell_length_a 3.6204
_cell_length_b 3.6204
_cell_length_c 97.5213
_cell_angle_alpha 90.00
_cell_angle_beta 90.00
_cell_angle_gamma 120.00
_symmetry_space_group_name_H-M 'R -3 m'
_symmetry_Int_Tables_number 166
_symmetry_space_group_name_Hall '-R 3 2"'
loop_
_atom_site_label
_atom_site_type_symbol
_atom_site_fract_x
_atom_site_fract_y
_atom_site_fract_z
Tb1 Tb 0.0000 0.0000 0.0451
Pm1 Pm 0.0000 0.0000 0.2277
Pm2 Pm 0.0000 0.0000 0.5000
Sm1 Sm 0.0000 0.0000 0.1361
Sm2 Sm 0.0000 0.0000 0.3181
Sm3 Sm 0.0000 0.0000 0.4083

***

12.
# TbPmSm (PBE, optimized geometry)
# Total DFT energy (no corrections) ... -4.68 eV/atom
# Crystal system ... tetragonal
# Energy of formation ... 16 meV per atom
# Size of the total moment ... 0.00 μB per cell
data_TbPmSm
_cell_length_a 3.613
_cell_length_b 3.613
_cell_length_c 15.341
_cell_angle_alpha 90.00
_cell_angle_beta 90.00
_cell_angle_gamma 90.00
_symmetry_space_group_name_H-M 'I 4 m m'
_symmetry_Int_Tables_number 107
_symmetry_space_group_name_Hall 'I 4 -2'
loop_
_atom_site_label
_atom_site_type_symbol
_atom_site_fract_x
_atom_site_fract_y
_atom_site_fract_z
Tb1 Tb 0.000 0.000 0.000
Pm1 Pm 0.000 0.000 0.666
Sm1 Sm 0.000 0.000 0.335

***

13.
# Tb2PmSm8 (PBE, optimized geometry)
# Total DFT energy (no corrections) ... -4.69 eV/atom
# Crystal system ... monoclinic
# Energy of formation ... 15 meV per atom
# Size of the total moment ... 0.00 μB per cell
data_Tb2PmSm8
_cell_length_a 18.430
_cell_length_b 5.114
_cell_length_c 8.098
_cell_angle_alpha 90.00
_cell_angle_beta 105.31
_cell_angle_gamma 90.00
_symmetry_space_group_name_H-M 'C 1 2/m 1'
_symmetry_Int_Tables_number 12
loop_
_symmetry_equiv_pos_as_xyz
'x,y,z'
'-x,-y,-z'
'-x,y,-z'
'x,-y,z'
'x+1/2,y+1/2,z'
'-x+1/2,-y+1/2,-z'
'-x+1/2,y+1/2,-z'
'x+1/2,-y+1/2,z'
loop_
_atom_site_label
_atom_site_type_symbol
_atom_site_fract_x
_atom_site_fract_y
_atom_site_fract_z
Tb1 Tb 0.227 0.000 0.136
Pm1 Pm 0.000 0.500 0.500
Sm1 Sm 0.046 0.000 0.227
Sm2 Sm 0.092 0.500 0.955
Sm3 Sm 0.137 0.000 0.684
Sm4 Sm 0.182 0.500 0.410

***

14.
# Tb6Pm6Sm (PBE, optimized geometry)
# Total DFT energy (no corrections) ... -4.42 eV/atom
# Crystal system ... hexagonal
# Energy of formation ... 268 meV per atom
# Size of the total moment ... 0.00 μB per cell
data_Tb6Pm6Sm
_cell_length_a 6.7246
_cell_length_b 6.7246
_cell_length_c 11.4667
_cell_angle_alpha 90.00
_cell_angle_beta 90.00
_cell_angle_gamma 120.00
_symmetry_space_group_name_H-M 'P 6/m m m'
_symmetry_Int_Tables_number 191
_symmetry_space_group_name_Hall '-P 6 2'
loop_
_atom_site_label
_atom_site_type_symbol
_atom_site_fract_x
_atom_site_fract_y
_atom_site_fract_z
Tb1 Tb 0.0000 0.5000 0.2481
Pm1 Pm 0.0000 0.0000 0.3487
Pm2 Pm 0.3333 0.6667 0.0000
Pm3 Pm 0.3333 0.6667 0.5000
Sm1 Sm 0.0000 0.0000 0.0000

***

15.
# Tb6Pm12Sm (PBE, optimized geometry)
# Total DFT energy (no corrections) ... -4.48 eV/atom
# Crystal system ... trigonal
# Energy of formation ... 233 meV per atom
# Size of the total moment ... 0.00 μB per cell
data_Tb6Pm12Sm
_cell_length_a 14.8459
_cell_length_b 14.8459
_cell_length_c 10.4561
_cell_angle_alpha 90.00
_cell_angle_beta 90.00
_cell_angle_gamma 120.00
_symmetry_space_group_name_H-M 'R -3'
_symmetry_Int_Tables_number 148
_symmetry_space_group_name_Hall '-R 3'
loop_
_atom_site_label
_atom_site_type_symbol
_atom_site_fract_x
_atom_site_fract_y
_atom_site_fract_z
Tb1 Tb 0.0502 0.8360 0.2588
Pm1 Pm 0.0544 0.8003 0.5800
Pm2 Pm 0.0644 0.8386 0.9183
Sm1 Sm 0.0000 0.0000 0.5000

***

16.
# TbPm12Sm7 (PBE, optimized geometry)
# Total DFT energy (no corrections) ... -4.45 eV/atom
# Crystal system ... trigonal
# Energy of formation ... 283 meV per atom
# Size of the total moment ... 0.00 μB per cell
data_TbPm12Sm7
_cell_length_a 18.8266
_cell_length_b 18.8266
_cell_length_c 6.8871
_cell_angle_alpha 90.00
_cell_angle_beta 90.00
_cell_angle_gamma 120.00
_symmetry_space_group_name_H-M 'R -3'
_symmetry_Int_Tables_number 148
_symmetry_space_group_name_Hall '-R 3'
loop_
_atom_site_label
_atom_site_type_symbol
_atom_site_fract_x
_atom_site_fract_y
_atom_site_fract_z
Tb1 Tb 0.0000 0.0000 0.0000
Pm1 Pm 0.0001 0.2141 0.2877
Pm2 Pm 0.0073 0.5368 0.7405
Sm1 Sm 0.0000 0.0000 0.5000
Sm2 Sm 0.0067 0.1557 0.7775

***

17.
# Tb12Pm2Sm (PBE, optimized geometry)
# Total DFT energy (no corrections) ... -4.49 eV/atom
# Crystal system ... orthorhombic
# Energy of formation ... 162 meV per atom
# Size of the total moment ... 0.00 μB per cell
data_Tb12Pm2Sm
_cell_length_a 7.079
_cell_length_b 11.365
_cell_length_c 24.813
_cell_angle_alpha 90.00
_cell_angle_beta 90.00
_cell_angle_gamma 90.00
_symmetry_space_group_name_H-M 'C m m e'
_symmetry_Int_Tables_number 67
_symmetry_space_group_name_Hall '-C 2a 2'
loop_
_atom_site_label
_atom_site_type_symbol
_atom_site_fract_x
_atom_site_fract_y
_atom_site_fract_z
Tb1 Tb 0.000 0.001 0.078
Tb2 Tb 0.000 0.016 0.561
Tb3 Tb 0.237 0.250 0.416
Tb4 Tb 0.249 0.250 0.872
Tb5 Tb 0.250 0.000 0.200
Tb6 Tb 0.250 0.000 0.328
Pm1 Pm 0.000 0.250 0.266
Pm2 Pm 0.000 0.250 0.729
Sm1 Sm 0.000 0.250 0.000

***

18.
# Tb4Pm4Sm5 (PBE, optimized geometry)
# Total DFT energy (no corrections) ... -4.69 eV/atom
# Crystal system ... tetragonal
# Energy of formation ... 13 meV per atom
# Size of the total moment ... 0.00 μB per cell
data_Tb4Pm4Sm5
_cell_length_a 13.057
_cell_length_b 13.057
_cell_length_c 5.093
_cell_angle_alpha 90.00
_cell_angle_beta 90.00
_cell_angle_gamma 90.00
_symmetry_space_group_name_H-M 'I 4/m'
_symmetry_Int_Tables_number 87
_symmetry_space_group_name_Hall '-I 4'
loop_
_atom_site_label
_atom_site_type_symbol
_atom_site_fract_x
_atom_site_fract_y
_atom_site_fract_z
Tb1 Tb 0.154 0.231 0.000
Pm1 Pm 0.077 0.617 0.000
Sm1 Sm 0.000 0.000 0.000
Sm2 Sm 0.039 0.808 0.500

***

19.
# Tb3Pm2Sm5 (PBE, optimized geometry)
# Total DFT energy (no corrections) ... -4.51 eV/atom
# Crystal system ... monoclinic
# Energy of formation ... 190 meV per atom
# Size of the total moment ... 0.00 μB per cell
data_Tb3Pm2Sm5
_cell_length_a 10.816
_cell_length_b 15.829
_cell_length_c 9.623
_cell_angle_alpha 90.00
_cell_angle_beta 123.96
_cell_angle_gamma 90.00
_symmetry_space_group_name_H-M 'C 1 2/c 1'
_symmetry_Int_Tables_number 15
loop_
_symmetry_equiv_pos_as_xyz
'x,y,z'
'-x,-y,-z'
'-x,y,-z+1/2'
'x,-y,z+1/2'
'x+1/2,y+1/2,z'
'-x+1/2,-y+1/2,-z'
'-x+1/2,y+1/2,-z+1/2'
'x+1/2,-y+1/2,z+1/2'
loop_
_atom_site_label
_atom_site_type_symbol
_atom_site_fract_x
_atom_site_fract_y
_atom_site_fract_z
Tb1 Tb 0.000 0.022 0.250
Tb2 Tb 0.159 0.379 0.546
Pm1 Pm 0.141 0.125 0.049
Sm1 Sm 0.000 0.231 0.250
Sm2 Sm 0.000 0.273 0.750
Sm3 Sm 0.000 0.470 0.750
Sm4 Sm 0.231 0.380 0.214

***

20.
# Tb3Pm3Sm (PBE, optimized geometry)
# Total DFT energy (no corrections) ... -4.47 eV/atom
# Crystal system ... trigonal
# Energy of formation ... 228 meV per atom
# Size of the total moment ... 0.00 μB per cell
data_Tb3Pm3Sm
_cell_length_a 10.0081
_cell_length_b 10.0081
_cell_length_c 8.2385
_cell_angle_alpha 90.00
_cell_angle_beta 90.00
_cell_angle_gamma 120.00
_symmetry_space_group_name_H-M 'R 3 m'
_symmetry_Int_Tables_number 160
_symmetry_space_group_name_Hall 'R 3 -2"'
loop_
_atom_site_label
_atom_site_type_symbol
_atom_site_fract_x
_atom_site_fract_y
_atom_site_fract_z
Tb1 Tb 0.1992 0.3984 0.0000
Pm1 Pm 0.2132 0.4263 0.4295
Sm1 Sm 0.0000 0.0000 0.0551